Below is Hf2Si2Pd after structural relaxation, with properties calculated at the PBE level.

a = 5.230 Å, b = 5.230 Å, c = 5.230 Å
α = 137.15°, β = 117.84°, γ = 78.46°
Fractional coordinates of all 5 atoms:
Hf: 0.204 0.204 0.000
Hf: 0.796 0.796 0.000
Si: 0.218 0.500 0.718
Si: 0.782 0.500 0.282
Pd: 0.500 0.000 0.500

## Properties
Raw formation energy, kcal/mol of atoms: -19.74

=====

Below is CrCo2HPt after structural relaxation, with properties calculated at the PBE level.

a = 3.718 Å, b = 3.718 Å, c = 3.797 Å
α = 90.00°, β = 90.00°, γ = 90.00°
Fractional coordinates of all 5 atoms:
Cr: 0.000 0.000 0.000
Co: 0.000 0.500 0.500
Co: 0.500 0.000 0.500
H: 0.500 0.500 0.500
Pt: 0.500 0.500 0.000

## Properties
Relative energy among the computed polymorphs, meV/atom: 60

=====

Below is LiPm4Ir3 after structural relaxation, with properties calculated at the PBE level.

a = 8.422 Å, b = 8.422 Å, c = 8.422 Å
α = 96.71°, β = 96.71°, γ = 140.01°
Fractional coordinates of all 16 atoms:
Li: 0.250 0.750 0.500
Li: 0.750 0.250 0.500
Pm: 0.082 0.780 0.862
Pm: 0.220 0.082 0.303
Pm: 0.280 0.582 0.862
Pm: 0.418 0.280 0.697
Pm: 0.582 0.720 0.303
Pm: 0.720 0.418 0.138
Pm: 0.780 0.918 0.697
Pm: 0.918 0.220 0.138
Ir: 0.159 0.341 0.500
Ir: 0.250 0.250 0.000
Ir: 0.341 0.841 0.182
Ir: 0.659 0.159 0.818
Ir: 0.750 0.750 0.000
Ir: 0.841 0.659 0.500

## Properties
Energy relative to the elements, meV/atom: -518.3

=====

Below is LaZrBr2 after structural relaxation, with properties calculated at the PBE level.

a = 3.528 Å, b = 4.648 Å, c = 6.398 Å
α = 90.00°, β = 90.01°, γ = 90.00°
Fractional coordinates of all 4 atoms:
La: 0.000 0.000 0.000
Zr: 0.500 0.000 0.500
Br: 0.497 0.500 0.252
Br: 0.503 0.500 0.748

## Properties
Relative energy among the computed polymorphs, meV/atom: 217
Raw formation energy, kcal/mol of atoms: -16.77

=====

Below is MnCdCu2 after structural relaxation, with properties calculated at the PBE level.

a = 3.135 Å, b = 3.135 Å, c = 6.042 Å
α = 90.00°, β = 90.00°, γ = 90.00°
Fractional coordinates of all 4 atoms:
Mn: 0.000 0.000 0.000
Cd: 0.000 0.000 0.500
Cu: 0.500 0.500 0.218
Cu: 0.500 0.500 0.782

## Properties
Energy relative to the elements, meV/atom: 111.3

=====

Below is Pm2PrTl2Hg2 after structural relaxation, with properties calculated at the PBE level.

a = 9.591 Å, b = 9.591 Å, c = 9.591 Å
α = 30.54°, β = 30.54°, γ = 30.54°
Fractional coordinates of all 7 atoms:
Pm: 0.134 0.134 0.134
Pm: 0.866 0.866 0.866
Pr: 0.000 0.000 0.000
Tl: 0.272 0.272 0.272
Tl: 0.728 0.728 0.728
Hg: 0.433 0.433 0.433
Hg: 0.567 0.567 0.567

## Properties
Energy relative to the elements, meV/atom: -240.6